Entry 1:
The following is a PBE calculation of a relaxed structure of LaPm4Dy6, from Alexandria via LeMat-Bulk.

Lattice parameters (Å, degrees): 3.5549 11.0569 11.0569 120.00 90.00 90.00
Closest atoms and distances in Å follow each position.
Atoms (fractional coordinates):
Dy1 0.0000 0.4965 0.9931  5 Pm 3.13-3.47
Dy2 0.5000 0.1714 0.3428  6 Dy 3.55-3.59, 4 Pm 3.56-3.57, 2 La 3.73
Pm1 0.0000 0.3333 0.6667  3 Dy 3.13
Dy3 0.0000 0.4965 0.5035  5 Pm 3.13-3.47
Dy4 0.5000 0.6572 0.8286  6 Dy 3.55-3.59, 4 Pm 3.56-3.57, 2 La 3.73
Pm2 0.5000 0.8022 0.1978  6 Dy 3.47-3.56, 2 Pm 3.55
Pm3 0.5000 0.8022 0.6044  6 Dy 3.47-3.56, 2 Pm 3.55
Dy5 0.5000 0.1714 0.8286  6 Dy 3.55-3.59, 4 Pm 3.56-3.57, 2 La 3.73
Dy6 0.0000 0.0069 0.5035  5 Pm 3.13-3.47
Pm4 0.5000 0.3956 0.1978  6 Dy 3.47-3.56, 2 Pm 3.55
La1 0.0000 0.0000 0.0000  2 La 3.55, 6 Dy 3.73

Computed properties:
Relative energy among the computed polymorphs (meV per atom): 0

***

Entry 2:
The following is a PBE calculation of a relaxed structure of LaPm4Dy3, from Alexandria via LeMat-Bulk.

Lattice parameters (Å, degrees): 6.3547 7.3594 11.6506 90.00 90.00 90.00
Closest atoms and distances in Å follow each position.
Atoms (fractional coordinates):
Pm1 0.1515 0.8745 0.5000  6 Pm 3.58-3.72, 4 Dy 3.61-3.69, 2 La 3.63-3.70
Pm2 0.1452 0.8715 0.0000  6 Pm 3.58-3.72, 4 Dy 3.60-3.68, 2 La 3.66-3.70
Dy1 0.6482 0.6242 0.0000  6 Pm 3.58-3.69, 4 Dy 3.59-3.60, 2 La 3.65-3.69
Dy2 0.4806 0.3769 0.2493  4 Dy 3.59-3.66, 6 Pm 3.60-3.70, 2 La 3.60
Pm3 0.6452 0.1285 0.5000  6 Pm 3.58-3.72, 4 Dy 3.60-3.68, 2 La 3.66-3.70
Dy3 0.9806 0.6231 0.7493  4 Dy 3.59-3.66, 6 Pm 3.60-3.70, 2 La 3.60
Pm4 0.4819 0.8745 0.7532  5 Dy 3.58-3.70, 6 Pm 3.58-3.68, 1 La 3.62
Dy4 0.9806 0.6231 0.2507  4 Dy 3.59-3.66, 6 Pm 3.60-3.70, 2 La 3.60
Pm5 0.6515 0.1255 0.0000  6 Pm 3.58-3.72, 4 Dy 3.61-3.69, 2 La 3.63-3.70
Dy5 0.4806 0.3769 0.7507  4 Dy 3.59-3.66, 6 Pm 3.60-3.70, 2 La 3.60
La1 0.1454 0.3745 0.0000  6 Dy 3.60-3.69, 6 Pm 3.62-3.70
Dy6 0.1482 0.3758 0.5000  6 Pm 3.58-3.69, 4 Dy 3.59-3.60, 2 La 3.65-3.69
La2 0.6454 0.6255 0.5000  6 Dy 3.60-3.69, 6 Pm 3.62-3.70
Pm6 0.9819 0.1255 0.2532  5 Dy 3.58-3.70, 6 Pm 3.58-3.68, 1 La 3.62
Pm7 0.9819 0.1255 0.7468  5 Dy 3.58-3.70, 6 Pm 3.58-3.68, 1 La 3.62
Pm8 0.4819 0.8745 0.2468  5 Dy 3.58-3.70, 6 Pm 3.58-3.68, 1 La 3.62

Computed properties:
Relative energy among the computed polymorphs (meV per atom): 0

***

Entry 3:
The following is a PBE calculation of a relaxed structure of La5Pm12Dy2, from Alexandria via LeMat-Bulk.

Lattice parameters (Å, degrees): 6.2933 10.8889 10.8889 66.32 79.15 79.15
Closest atoms and distances in Å follow each position.
Atoms (fractional coordinates):
La1 0.5531 0.7860 0.7860  8 Pm 3.53-3.74, 3 La 3.60-3.84
Pm1 0.3829 0.8461 0.3573  1 Dy 3.37, 3 La 3.40-3.74, 5 Pm 3.47-3.69
La2 0.1476 0.6744 0.6744  5 Pm 3.40-3.63, 1 La 3.60
Pm2 0.8006 0.9438 0.4509  6 Pm 3.45-3.84, 3 La 3.54-3.72, 1 Dy 3.55
Pm3 0.1994 0.5491 0.0562  6 Pm 3.45-3.84, 3 La 3.54-3.72, 1 Dy 3.55
Pm4 0.6171 0.6427 0.1539  1 Dy 3.37, 3 La 3.40-3.74, 5 Pm 3.47-3.69
Pm5 0.8006 0.4509 0.9438  6 Pm 3.45-3.84, 3 La 3.54-3.72, 1 Dy 3.55
La3 0.8524 0.3256 0.3256  5 Pm 3.40-3.63, 1 La 3.60
Pm6 0.1994 0.0562 0.5491  6 Pm 3.45-3.84, 3 La 3.54-3.72, 1 Dy 3.55
Pm7 0.3829 0.3573 0.8461  1 Dy 3.37, 3 La 3.40-3.74, 5 Pm 3.47-3.69
Pm8 0.0041 0.1215 0.1215  4 La 3.40-3.63, 2 Pm 3.45, 2 Dy 3.50
La4 0.4469 0.2140 0.2140  8 Pm 3.53-3.74, 3 La 3.60-3.84
Pm9 0.6171 0.1539 0.6427  1 Dy 3.37, 3 La 3.40-3.74, 5 Pm 3.47-3.69
Pm10 0.7259 0.5516 0.5516  4 Pm 3.54-3.75, 2 Dy 3.70, 2 La 3.82-3.84
Dy1 0.0000 0.2268 0.7732  8 Pm 3.37-3.70
Pm11 0.9959 0.8785 0.8785  4 La 3.40-3.63, 2 Pm 3.45, 2 Dy 3.50
Pm12 0.2741 0.4484 0.4484  4 Pm 3.54-3.75, 2 Dy 3.70, 2 La 3.82-3.84
La5 0.5000 0.0000 0.0000  6 Pm 3.40-3.55
Dy2 0.0000 0.7732 0.2268  8 Pm 3.37-3.70

Computed properties:
Relative energy among the computed polymorphs (meV per atom): 0

***

Entry 4:
The following is a PBE calculation of a relaxed structure of LaPm4Dy2, from Alexandria via LeMat-Bulk.

Lattice parameters (Å, degrees): 8.7611 9.6246 7.1701 111.87 101.78 111.63
Closest atoms and distances in Å follow each position.
Atoms (fractional coordinates):
Pm1 0.6633 0.9127 0.5687  5 Dy 3.41-3.63, 2 La 3.65-3.69, 5 Pm 3.67-3.82
Pm2 0.9401 0.7505 0.3101  8 Pm 3.57-3.92, 4 Dy 3.61-3.77, 1 La 3.84
Pm3 0.9366 0.7484 0.8097  8 Pm 3.57-3.94, 2 La 3.63-3.84, 3 Dy 3.65-3.77
Pm4 0.8016 0.3389 0.3232  5 Dy 3.24-3.62, 2 La 3.42-3.57
Dy1 0.8022 0.3417 0.8205  4 Pm 3.22-3.55, 1 Dy 3.58, 1 La 3.59
La1 0.0686 0.2015 0.0699  5 Dy 3.43-3.64, 4 Pm 3.57-3.71, 1 La 3.74
Pm5 0.5187 0.4796 0.8208  5 Dy 3.22-3.59, 1 Pm 3.56, 1 La 3.59
Pm6 0.2510 0.6165 0.0707  4 Dy 3.40-3.71, 3 Pm 3.56-3.67, 3 La 3.56-3.71
Pm7 0.3808 0.0708 0.3317  8 Pm 3.58-3.91, 4 Dy 3.68-3.83, 1 La 3.85
Dy2 0.0692 0.2005 0.5677  5 Pm 3.42-3.71, 3 La 3.57-3.73, 2 Dy 3.58-3.63
Pm8 0.3845 0.0755 0.8356  7 Pm 3.58-3.94, 2 La 3.64-3.85, 4 Dy 3.66-3.84
Dy3 0.5201 0.4817 0.3214  5 Pm 3.24-3.59, 2 La 3.43-3.60
Dy4 0.6623 0.9108 0.0741  8 Pm 3.40-3.80, 1 Dy 3.63, 2 La 3.64-3.66
La2 0.2510 0.6209 0.5761  6 Pm 3.42-3.69, 3 Dy 3.60-3.73, 1 La 3.74

Computed properties:
Relative energy among the computed polymorphs (meV per atom): 0

***

Number 1: ΔE_f 158 kJ/mol of formula units, spin magnetization 0.00 μB per cell. Number 2: ΔE_f 23 kJ/mol of formula units, spin magnetization 0.00 μB per cell. Number 3: ΔE_f 177 kJ/mol of formula units, spin magnetization 0.00 μB per cell. Number 4: ΔE_f 29 kJ/mol of formula units, spin magnetization 0.00 μB per cell.